No. 1
Below is a relaxed structure of NdEr2ZrN4, with properties calculated at the GGA-PBE level.

a = 3.4284 Å, b = 5.9721 Å, c = 5.9281 Å
α = 109.25°, β = 90.00°, γ = 90.00°
Sites, in units of the cell vectors:
N (0.0000, 0.7687, 0.2526)
N (0.5000, 0.2343, 0.2447)
N (0.5000, 0.7657, 0.7553)
N (0.0000, 0.2313, 0.7474)
Nd (0.5000, 0.5000, 0.0000)
Er (0.5000, 0.0000, 0.5000)
Er (0.0000, 0.5000, 0.5000)
Zr (0.0000, 0.0000, 0.0000)

The calculation puts the density of states at the Fermi level at 1.174 states/eV per cell. Its formation energy from raw total energies is -1631 meV per atom.

No. 2
Below is a relaxed structure of Er12Ni6N, with properties calculated at the GGA-PBE level.

a = 7.6871 Å, b = 7.6871 Å, c = 7.6871 Å
α = 97.28°, β = 97.28°, γ = 97.28°
Sites, in units of the cell vectors:
Ni (0.3003, 0.1217, 0.6230)
Ni (0.6997, 0.8783, 0.3770)
Ni (0.6230, 0.3003, 0.1217)
Ni (0.1217, 0.6230, 0.3003)
Ni (0.3770, 0.6997, 0.8783)
Ni (0.8783, 0.3770, 0.6997)
Er (0.0368, 0.6927, 0.9172)
Er (0.4121, 0.5745, 0.1836)
Er (0.1836, 0.4121, 0.5745)
Er (0.0828, 0.9632, 0.3073)
Er (0.5879, 0.4255, 0.8164)
Er (0.3073, 0.0828, 0.9632)
Er (0.6927, 0.9172, 0.0368)
Er (0.9632, 0.3073, 0.0828)
Er (0.4255, 0.8164, 0.5879)
Er (0.5745, 0.1836, 0.4121)
Er (0.8164, 0.5879, 0.4255)
Er (0.9172, 0.0368, 0.6927)
N (0.0000, 0.0000, 0.0000)

The calculation puts the density of states at the Fermi level at 17.083 states/eV per cell. Its formation energy from raw total energies is -367 meV per atom.

No. 3
Below is a relaxed structure of Er6Ni2N, with properties calculated at the GGA-PBE level.

a = 6.2665 Å, b = 6.7644 Å, c = 9.3640 Å
α = 90.00°, β = 88.87°, γ = 90.00°
Sites, in units of the cell vectors:
Er (0.3771, 0.5372, 0.2409)
Er (0.6895, 0.1797, 0.4394)
Er (0.3230, 0.8072, 0.9381)
Er (0.8771, 0.9628, 0.7409)
Er (0.1229, 0.0372, 0.2591)
Er (0.1895, 0.3203, 0.9394)
Er (0.6229, 0.4628, 0.7591)
Er (0.8105, 0.6797, 0.0606)
Er (0.8230, 0.6928, 0.4381)
Er (0.6770, 0.1928, 0.0619)
Er (0.1770, 0.3072, 0.5619)
Er (0.3105, 0.8203, 0.5606)
N (0.5000, 0.5000, 0.0000)
N (0.0000, 0.0000, 0.5000)
Ni (0.5408, 0.9084, 0.2544)
Ni (0.4592, 0.0916, 0.7456)
Ni (0.0408, 0.5916, 0.7544)
Ni (0.9592, 0.4084, 0.2456)

The calculation puts the density of states at the Fermi level at 17.197 states/eV per cell. Its formation energy from raw total energies is -605 meV per atom.

No. 4
Below is a relaxed structure of ErNpN, with properties calculated at the GGA-PBE level.

a = 3.2798 Å, b = 5.6801 Å, c = 12.3188 Å
α = 90.00°, β = 90.00°, γ = 90.00°
Sites, in units of the cell vectors:
Np (0.2500, 0.8658, 0.5296)
Np (0.7500, 0.1342, 0.4704)
Np (0.7500, 0.6342, 0.0296)
Np (0.2500, 0.3658, 0.9704)
N (0.2500, 0.4678, 0.1720)
N (0.7500, 0.5322, 0.8280)
N (0.2500, 0.9678, 0.3280)
N (0.7500, 0.0322, 0.6720)
Er (0.7500, 0.6832, 0.2942)
Er (0.2500, 0.8168, 0.7942)
Er (0.7500, 0.1832, 0.2058)
Er (0.2500, 0.3168, 0.7058)

The calculation puts the density of states at the Fermi level at 14.169 states/eV per cell. Its formation energy from raw total energies is -417 meV per atom.

No. 5
Below is a relaxed structure of ErNp5N6, with properties calculated at the GGA-PBE level.

a = 5.9714 Å, b = 5.9701 Å, c = 5.9704 Å
α = 60.00°, β = 80.44°, γ = 70.59°
Sites, in units of the cell vectors:
N (0.2491, 0.9173, 0.6650)
N (0.2491, 0.5823, 0.3350)
N (0.7509, 0.4177, 0.6650)
N (0.7493, 0.7490, 0.0000)
N (0.2507, 0.2510, 0.0000)
N (0.7509, 0.0827, 0.3350)
Np (0.5000, 0.8345, 0.3310)
Np (0.5000, 0.5000, 0.0000)
Np (0.0000, 0.3331, 0.3337)
Np (0.5000, 0.1655, 0.6690)
Np (0.0000, 0.6669, 0.6663)
Er (0.0000, 0.0000, 0.0000)

The calculation puts the density of states at the Fermi level at 22.601 states/eV per cell. Its formation energy from raw total energies is -1210 meV per atom.

No. 6
Below is a relaxed structure of Er3NpN4, with properties calculated at the GGA-PBE level.

a = 3.4289 Å, b = 5.9230 Å, c = 5.9230 Å
α = 108.99°, β = 90.00°, γ = 90.00°
Sites, in units of the cell vectors:
Er (0.0000, 0.0000, 0.5000)
Er (0.5000, 0.5000, 0.5000)
Er (0.0000, 0.5000, 0.0000)
Np (0.5000, 0.0000, 0.0000)
N (0.0000, 0.2461, 0.2461)
N (0.5000, 0.2420, 0.7580)
N (0.5000, 0.7580, 0.2420)
N (0.0000, 0.7539, 0.7539)

The calculation puts the density of states at the Fermi level at 6.070 states/eV per cell. Its formation energy from raw total energies is -1604 meV per atom.